1.
Here is a relaxed Y2ErSc3Te2Au crystal from OQMD. Energies are from PBE-GGA.

The space group is Amm2, No. 38. The theoretical density comes out at 6.99 g cm⁻³. The value obtained for the electronic total energy is -5.92 eV per atom.

Unit cell a=3.9715 b=8.0314 c=8.0314 alpha=120.13 beta=90.00 gamma=90.00
Sites, in units of the cell vectors:
Au  0.0000  0.9971  0.9971
Er  0.0000  0.6032  0.6032
Sc  0.5000  0.2465  0.2465
Sc  0.5000  0.9997  0.7538
Sc  0.5000  0.7538  0.9997
Te  0.5000  0.6664  0.3344
Te  0.5000  0.3344  0.6664
Y  0.0000  0.3988  0.0000
Y  0.0000  0.0000  0.3988

***

2.
Here is a relaxed Er2AuSe4 crystal from OQMD. Energies are from PBE-GGA.

The space group is Fd-3m, No. 227. The theoretical density comes out at 7.28 g cm⁻³. The value obtained for the electronic total energy is -5.00 eV per atom.

Unit cell a=8.1758 b=8.1758 c=8.1758 alpha=60.00 beta=60.00 gamma=60.00
Sites, in units of the cell vectors:
Au  0.5000  0.5000  0.5000
Au  0.7500  0.7500  0.7500
Er  0.1250  0.1250  0.1250
Er  0.6250  0.1250  0.1250
Er  0.1250  0.6250  0.1250
Er  0.1250  0.1250  0.6250
Se  0.8802  0.8802  0.3595
Se  0.8905  0.3698  0.3698
Se  0.3698  0.3698  0.3698
Se  0.3698  0.8905  0.3698
Se  0.8802  0.3595  0.8802
Se  0.8802  0.8802  0.8802
Se  0.3595  0.8802  0.8802
Se  0.3698  0.3698  0.8905

***

3.
Here is a relaxed Er3AuSe6 crystal from OQMD. Energies are from PBE-GGA.

The space group is P-1, No. 2. The theoretical density comes out at 7.51 g cm⁻³. The value obtained for the electronic total energy is -5.12 eV per atom.

Unit cell a=4.3094 b=7.0306 c=8.8118 alpha=88.33 beta=78.33 gamma=82.65
Sites, in units of the cell vectors:
Au  0.0000  0.0000  0.0000
Er  0.6466  0.4469  0.2302
Er  0.0000  0.0000  0.5000
Er  0.3534  0.5531  0.7698
Se  0.1572  0.6672  0.0984
Se  0.1999  0.1626  0.2080
Se  0.5696  0.7336  0.4670
Se  0.4304  0.2664  0.5330
Se  0.8001  0.8374  0.7920
Se  0.8428  0.3328  0.9016

***

4.
Here is a relaxed Er2AuSe3 crystal from OQMD. Energies are from PBE-GGA.

The space group is Pnma, No. 62. The value obtained for the energy above the most stable polymorph in this dataset is 0.287 eV per formula unit. The theoretical density comes out at 9.38 g cm⁻³. The value obtained for the electronic total energy is -5.08 eV per atom.

Unit cell a=10.1669 b=3.8496 c=13.9060 alpha=90.00 beta=90.00 gamma=90.00
Sites, in units of the cell vectors:
Au  0.2621  0.2500  0.2248
Au  0.7621  0.2500  0.2752
Au  0.2379  0.7500  0.7248
Au  0.7379  0.7500  0.7752
Er  0.2688  0.7500  0.0264
Er  0.0135  0.7500  0.2472
Er  0.5135  0.7500  0.2528
Er  0.7688  0.7500  0.4736
Er  0.2312  0.2500  0.5264
Er  0.4865  0.2500  0.7472
Er  0.9865  0.2500  0.7528
Er  0.7312  0.2500  0.9736
Se  0.0703  0.2500  0.0952
Se  0.4657  0.2500  0.0982
Se  0.7646  0.7500  0.1304
Se  0.2646  0.7500  0.3696
Se  0.9657  0.2500  0.4018
Se  0.5703  0.2500  0.4048
Se  0.4297  0.7500  0.5952
Se  0.0343  0.7500  0.5982
Se  0.7354  0.2500  0.6304
Se  0.2354  0.2500  0.8696
Se  0.5343  0.7500  0.9018
Se  0.9297  0.7500  0.9048

***

5.
Here is a relaxed Er2AuSe3 crystal from OQMD. Energies are from PBE-GGA.

The space group is Pnma, No. 62. The value obtained for the energy above the most stable polymorph in this dataset is 0.000 eV per formula unit. The theoretical density comes out at 9.12 g cm⁻³. The value obtained for the electronic total energy is -5.13 eV per atom.

Unit cell a=7.6208 b=3.9069 c=18.8011 alpha=90.00 beta=90.00 gamma=90.00
Sites, in units of the cell vectors:
Au  0.4351  0.7500  0.1022
Au  0.9351  0.7500  0.3978
Au  0.0649  0.2500  0.6022
Au  0.5649  0.2500  0.8978
Er  0.2737  0.2500  0.0025
Er  0.0295  0.2500  0.1961
Er  0.5295  0.2500  0.3039
Er  0.7737  0.2500  0.4975
Er  0.2263  0.7500  0.5025
Er  0.4705  0.7500  0.6961
Er  0.9705  0.7500  0.8039
Er  0.7263  0.7500  0.9975
Se  0.0523  0.7500  0.0820
Se  0.6909  0.2500  0.1048
Se  0.3042  0.7500  0.2376
Se  0.8042  0.7500  0.2624
Se  0.1909  0.2500  0.3952
Se  0.5523  0.7500  0.4180
Se  0.4477  0.2500  0.5820
Se  0.8091  0.7500  0.6048
Se  0.1958  0.2500  0.7376
Se  0.6958  0.2500  0.7624
Se  0.3091  0.7500  0.8952
Se  0.9477  0.2500  0.9180

***

6.
Here is a relaxed SrErTeAuSe2 crystal from OQMD. Energies are from PBE-GGA.

The space group is Cmcm, No. 63. The theoretical density comes out at 7.45 g cm⁻³. The value obtained for the electronic total energy is -4.62 eV per atom.

Unit cell a=7.5660 b=7.5660 c=10.9427 alpha=90.00 beta=90.00 gamma=148.35
Sites, in units of the cell vectors:
Au  0.0271  0.9729  0.2500
Au  0.9729  0.0271  0.7500
Er  0.5000  0.5000  0.0000
Er  0.5000  0.5000  0.5000
Se  0.1333  0.8667  0.0562
Se  0.1333  0.8667  0.4438
Se  0.8667  0.1333  0.5562
Se  0.8667  0.1333  0.9438
Sr  0.7169  0.2831  0.2500
Sr  0.2831  0.7169  0.7500
Te  0.3980  0.6020  0.2500
Te  0.6020  0.3980  0.7500

***

7.
Here is a relaxed Er2SiAu crystal from OQMD. Energies are from PBE-GGA.

The space group is Amm2, No. 38. The theoretical density comes out at 10.21 g cm⁻³. The value obtained for the electronic total energy is -5.28 eV per atom.

Unit cell a=4.1612 b=5.7426 c=5.7426 alpha=41.52 beta=90.00 gamma=90.00
Sites, in units of the cell vectors:
Au  0.0000  0.9181  0.9181
Er  0.5000  0.3595  0.3595
Er  0.0000  0.6394  0.6394
Si  0.5000  0.0830  0.0830

***

8.
Here is a relaxed TbErSi2Au2 crystal from OQMD. Energies are from PBE-GGA.

The space group is P3m1, No. 156. The theoretical density comes out at 10.47 g cm⁻³. The value obtained for the electronic total energy is -5.24 eV per atom.

Unit cell a=4.3211 b=4.3211 c=7.6115 alpha=90.00 beta=90.00 gamma=120.00
Sites, in units of the cell vectors:
Au  0.6667  0.3333  0.2761
Au  0.3333  0.6667  0.7598
Er  0.0000  0.0000  0.4994
Si  0.3333  0.6667  0.2246
Si  0.6667  0.3333  0.7205
Tb  0.0000  0.0000  0.0015